Record 1
This record from Alexandria via LeMat-Bulk describes a geometry-optimized La2YPt2 structure. The functional is GGA-PBE.

Cell and atoms, written as extended XYZ:
```
10
Lattice="8.5235 0.0000 0.0000 0.0000 8.5235 0.0000 0.0000 0.0000 3.4798" Properties=species:S:1:pos:R:3 pbc="T T T"
La 1.1732 3.0885 0.0000
La 3.0885 7.3502 0.0000
La 5.4350 1.1732 0.0000
La 7.3502 5.4350 0.0000
Y 0.0000 0.0000 0.0000
Y 4.2617 4.2617 0.0000
Pt 1.4535 5.7152 1.7399
Pt 2.8083 1.4535 1.7399
Pt 5.7152 7.0700 1.7399
Pt 7.0700 2.8083 1.7399
```

## Properties
- Space-group type: P4/mbm
- Final energy: -63.8 eV/cell

---

Record 2
This record from Alexandria via LeMat-Bulk describes a geometry-optimized LaY2Pt structure. The functional is GGA-PBE.

Cell and atoms, written as extended XYZ:
```
4
Lattice="3.6443 0.0000 0.0000 0.0000 3.6443 0.0000 0.0000 0.0000 8.6807" Properties=species:S:1:pos:R:3 pbc="T T T"
La 0.0000 0.0000 0.0000
Y 0.0000 0.0000 3.3869
Y 1.8222 1.8222 5.9536
Pt 1.8222 1.8222 1.8715
```

## Properties
- Space-group type: P4mm
- Final energy: -26.0 eV/cell

---

Record 3
This record from Alexandria via LeMat-Bulk describes a geometry-optimized LaY2Pt structure. The functional is GGA-PBE.

Cell and atoms, written as extended XYZ:
```
4
Lattice="1.9521 1.1271 9.5030 -1.9521 1.1271 9.5030 0.0000 -2.2541 9.5030" Properties=species:S:1:pos:R:3 pbc="T T T"
La 0.0000 0.0000 0.0000
Y 0.0000 0.0000 6.4830
Y 0.0000 0.0000 13.0737
Pt 0.0000 0.0000 20.8538
```

## Properties
- Space-group type: R3m
- Final energy: -25.8 eV/cell

---

Record 4
This record from Alexandria via LeMat-Bulk describes a geometry-optimized LaY2Pt structure. The functional is GGA-PBE.

Cell and atoms, written as extended XYZ:
```
4
Lattice="5.2155 0.0000 0.0000 0.0000 5.2155 0.0000 0.0000 0.0000 3.7886" Properties=species:S:1:pos:R:3 pbc="T T T"
La 0.0000 0.0000 0.0000
Y 0.0000 2.6078 1.8943
Y 2.6078 0.0000 1.8943
Pt 2.6078 2.6078 0.0000
```

## Properties
- Space-group type: P4/mmm
- Final energy: -25.1 eV/cell

---

Number 1: energy relative to the elements -0.697 eV/atom, polymorph energy (0 for the lowest one) 1.49 eV/f.u., calculated volume 25.28 A^3/atom. Number 2: energy relative to the elements -0.533 eV/atom, polymorph energy (0 for the lowest one) 0.61 eV/f.u., calculated volume 28.82 A^3/atom. Number 3: energy relative to the elements -0.484 eV/atom, polymorph energy (0 for the lowest one) 0.80 eV/f.u., calculated volume 31.36 A^3/atom. Number 4: energy relative to the elements -0.301 eV/atom, polymorph energy (0 for the lowest one) 1.53 eV/f.u., calculated volume 25.76 A^3/atom.